Below is crystalline FeCoOs2 at its relaxed geometry, with properties calculated at the PBE level.

Unit cell a=2.6151 b=2.6151 c=7.2948 alpha=90.00 beta=90.00 gamma=90.00
With the nearest neighbours (Å) after each atom.
Fractional positions:
Fe 0.0000 0.0000 0.0000  8 Os 2.59, 4 Fe 2.62
Co 0.0000 0.0000 0.5000  8 Os 2.61, 4 Co 2.62
Os 0.5000 0.5000 0.2482  4 Fe 2.59, 4 Co 2.61, 4 Os 2.62
Os 0.5000 0.5000 0.7518  4 Fe 2.59, 4 Co 2.61, 4 Os 2.62

## Properties
The value obtained for the energy relative to the lowest polymorph listed for this composition is 0.0649 eV/atom. The value obtained for the density of states at the Fermi level is 5.20 states/eV per cell. Its space group is P4/mmm (123). The calculation puts the energy of formation from the pure elements at 17 kJ per mole of atoms. The value obtained for the total magnetic moment is 0.4 μB/f.u.

=====

Below is crystalline BaZrHW2 at its relaxed geometry, with properties calculated at the PBE level.

Unit cell a=4.0806 b=4.0806 c=5.3991 alpha=90.00 beta=90.00 gamma=90.00
With the nearest neighbours (Å) after each atom.
Fractional positions:
Ba 0.0000 0.0000 0.0000  2 H 2.70, 4 Zr 2.89
Zr 0.5000 0.5000 0.0000  4 Ba 2.89
H 0.0000 0.0000 0.5000  4 W 2.04
W 0.0000 0.5000 0.5000  2 H 2.04
W 0.5000 0.0000 0.5000  2 H 2.04

## Properties
The value obtained for the density of states at the Fermi level is 5.08 states/eV per cell. As for the total energy: -6.87 eV/atom. Its space group is P4/mmm (123). The value obtained for the total magnetic moment is 0.0 μB/f.u.

=====

Below is crystalline Ac4CuSe7 at its relaxed geometry, with properties calculated at the PBE level.

Unit cell a=8.5327 b=8.5327 c=11.3121 alpha=126.36 beta=126.36 gamma=34.89
With the nearest neighbours (Å) after each atom.
Fractional positions:
Ac 0.0876 0.0876 0.2870  7 Se 3.06-3.39
Ac 0.2164 0.2164 0.8247  6 Se 2.96-3.29
Ac 0.7836 0.7836 0.1753  6 Se 2.96-3.29
Ac 0.9124 0.9124 0.7130  7 Se 3.06-3.39
Cu 0.5000 0.5000 0.5000  4 Se 2.37-2.56
Se 0.0000 0.0000 0.5000  2 Cu 2.56
Se 0.1388 0.1388 0.0438  5 Ac 3.15-3.41
Se 0.2849 0.2849 0.6359  4 Ac 2.96-3.18
Se 0.4347 0.4347 0.2452  1 Cu 2.37
Se 0.5653 0.5653 0.7548  1 Cu 2.37
Se 0.7151 0.7151 0.3641  4 Ac 2.96-3.18
Se 0.8612 0.8612 0.9562  5 Ac 3.15-3.41

## Properties
The value obtained for the density of states at the Fermi level is 1.54 states/eV per cell. Its space group is C2/m (12). The formation energy (no corrections) is -1.67 eV per atom. The value obtained for the total magnetic moment is 0.0 μB/f.u.

=====

Below is crystalline TiCdMo at its relaxed geometry, with properties calculated at the PBE level.

Unit cell a=2.9147 b=4.2825 c=8.7289 alpha=90.00 beta=98.84 gamma=90.00
With the nearest neighbours (Å) after each atom.
Fractional positions:
Ti 0.1341 0.2500 0.2199  3 Mo 2.65-2.75, 2 Ti 2.91
Ti 0.8659 0.7500 0.7801  3 Mo 2.65-2.75, 2 Ti 2.91
Cd 0.2854 0.2500 0.5925  6 Cd 2.91-3.06, 1 Mo 2.95, 5 Ti 3.05-3.21
Cd 0.7146 0.7500 0.4075  6 Cd 2.91-3.06, 1 Mo 2.95, 5 Ti 3.05-3.21
Mo 0.3217 0.2500 0.9321  2 Mo 2.59, 3 Ti 2.65-2.75
Mo 0.6783 0.7500 0.0679  2 Mo 2.59, 3 Ti 2.65-2.75

## Properties
The value obtained for the energy relative to the lowest polymorph listed for this composition is 0.0840 eV/atom. The value obtained for the density of states at the Fermi level is 4.64 states/eV per cell. Its space group is P2_1/m (11). The calculation puts the energy of formation from the pure elements at 3 kJ per mole of atoms. The value obtained for the total magnetic moment is 0.0 μB/f.u.

=====

Below is crystalline CePu2In at its relaxed geometry, with properties calculated at the PBE level.

Unit cell a=4.0430 b=4.0430 c=6.6912 alpha=90.00 beta=90.00 gamma=90.00
With the nearest neighbours (Å) after each atom.
Fractional positions:
Ce 0.0000 0.0000 0.0000  8 Pu 3.34, 2 In 3.35
Pu 0.5000 0.5000 0.2581  2 Pu 3.24-3.45, 4 In 3.29, 4 Ce 3.34
Pu 0.5000 0.5000 0.7419  2 Pu 3.24-3.45, 4 In 3.29, 4 Ce 3.34
In 0.0000 0.0000 0.5000  8 Pu 3.29, 2 Ce 3.35

## Properties
The value obtained for the energy relative to the lowest polymorph listed for this composition is 0.1282 eV/atom. The value obtained for the density of states at the Fermi level is 14.84 states/eV per cell. Its space group is P4/mmm (123). The calculation puts the energy of formation from the pure elements at 1 kJ per mole of atoms. The value obtained for the total magnetic moment is 13.8 μB/f.u.

=====

Below is crystalline Rb2MnNbI at its relaxed geometry, with properties calculated at the PBE level.

Unit cell a=7.0482 b=7.0482 c=5.2036 alpha=90.00 beta=90.00 gamma=90.00
With the nearest neighbours (Å) after each atom.
Fractional positions:
Rb 0.0000 0.5000 0.0000  2 Mn 3.52
Rb 0.5000 0.0000 0.0000  2 Mn 3.52
Mn 0.0000 0.0000 0.0000  2 I 2.60
Nb 0.5000 0.5000 0.5000  8 Rb 4.38
I 0.0000 0.0000 0.5000  2 Mn 2.60

## Properties
The value obtained for the density of states at the Fermi level is 5.35 states/eV per cell. Its space group is P4/mmm (123). The formation energy (no corrections) is 1.24 eV per atom. The value obtained for the total magnetic moment is 0.8 μB/f.u.

=====

Below is crystalline Dy3Ho6Th2 at its relaxed geometry, with properties calculated at the PBE level.

Unit cell a=31.6674 b=31.6674 c=31.6674 alpha=6.43 beta=6.43 gamma=6.43
With the nearest neighbours (Å) after each atom.
Fractional positions:
Dy 0.0000 0.0000 0.0000  6 Ho 3.53, 6 Dy 3.55
Dy 0.2728 0.2728 0.2728  6 Ho 3.52-3.57, 6 Dy 3.55
Dy 0.7272 0.7272 0.7272  6 Ho 3.52-3.57, 6 Dy 3.55
Ho 0.0914 0.0914 0.0914  3 Th 3.50, 6 Ho 3.55, 3 Dy 3.57
Ho 0.1823 0.1823 0.1823  3 Th 3.48, 9 Ho 3.55-3.61
Ho 0.3637 0.3637 0.3637  6 Dy 3.52-3.53, 6 Ho 3.55
Ho 0.6363 0.6363 0.6363  6 Dy 3.52-3.53, 6 Ho 3.55
Ho 0.8177 0.8177 0.8177  3 Th 3.48, 9 Ho 3.55-3.61
Ho 0.9086 0.9086 0.9086  3 Th 3.50, 6 Ho 3.55, 3 Dy 3.57
Th 0.4547 0.4547 0.4547  6 Ho 3.48-3.50, 6 Th 3.55
Th 0.5453 0.5453 0.5453  6 Ho 3.48-3.50, 6 Th 3.55

## Properties
The value obtained for the density of states at the Fermi level is 15.94 states/eV per cell. Its space group is R-3m (166). The calculation puts the energy of formation from the pure elements at 2 kJ per mole of atoms. The value obtained for the total magnetic moment is 0.0 μB/f.u.

=====

Below is crystalline NbSbH3 at its relaxed geometry, with properties calculated at the PBE level.

Unit cell a=3.7705 b=3.7705 c=3.7705 alpha=90.00 beta=90.00 gamma=90.00
With the nearest neighbours (Å) after each atom.
Fractional positions:
Nb 0.0000 0.0000 0.0000  6 H 1.89
Sb 0.5000 0.5000 0.5000  12 H 2.67
H 0.0000 0.0000 0.5000  2 Nb 1.89
H 0.0000 0.5000 0.0000  2 Nb 1.89
H 0.5000 0.0000 0.0000  2 Nb 1.89

## Properties
The value obtained for the energy relative to the lowest polymorph listed for this composition is 0.0000 eV/atom. The value obtained for the density of states at the Fermi level is 3.69 states/eV per cell. Its space group is Pm-3m (221). The value obtained for the total magnetic moment is 0.0 μB/f.u.

=====

Below is crystalline HfTi2Al2 at its relaxed geometry, with properties calculated at the PBE level.

Unit cell a=6.5997 b=6.5997 c=6.5997 alpha=145.17 beta=145.17 gamma=50.08
With the nearest neighbours (Å) after each atom.
Fractional positions:
Hf 0.0000 0.0000 0.0000  8 Ti 3.02
Ti 0.4046 0.4046 0.0000  1 Ti 2.28
Ti 0.5954 0.5954 0.0000  1 Ti 2.28
Al 0.2500 0.7500 0.5000  4 Ti 2.71, 4 Al 2.79
Al 0.7500 0.2500 0.5000  4 Ti 2.71, 4 Al 2.79

## Properties
The value obtained for the energy relative to the lowest polymorph listed for this composition is 0.4816 eV/atom. The value obtained for the density of states at the Fermi level is 5.04 states/eV per cell. Its space group is I4/mmm (139). The calculation puts the energy of formation from the pure elements at 16 kJ per mole of atoms. The value obtained for the total magnetic moment is 0.0 μB/f.u.

=====

Below is crystalline Na9Hg3O2 at its relaxed geometry, with properties calculated at the PBE level.

Unit cell a=8.8442 b=8.8442 c=8.8442 alpha=84.83 beta=84.83 gamma=84.83
With the nearest neighbours (Å) after each atom.
Fractional positions:
Na 0.0740 0.7416 0.9158  1 O 2.24
Na 0.0842 0.9260 0.2584  1 O 2.24
Na 0.1085 0.2500 0.3915  2 O 2.35
Na 0.2416 0.5740 0.4158  1 O 2.24
Na 0.2500 0.3915 0.1085  2 O 2.35
Na 0.2584 0.0842 0.9260  1 O 2.24
Na 0.3915 0.1085 0.2500  2 O 2.35
Na 0.4158 0.2416 0.5740  1 O 2.24
Na 0.4260 0.5842 0.7584  1 O 2.24
Na 0.5740 0.4158 0.2416  1 O 2.24
Na 0.5842 0.7584 0.4260  1 O 2.24
Na 0.6085 0.8915 0.7500  2 O 2.35
Na 0.7416 0.9158 0.0740  1 O 2.24
Na 0.7500 0.6085 0.8915  2 O 2.35
Na 0.7584 0.4260 0.5842  1 O 2.24
Na 0.8915 0.7500 0.6085  2 O 2.35
Na 0.9158 0.0740 0.7416  1 O 2.24
Na 0.9260 0.2584 0.0842  1 O 2.24
Hg 0.0930 0.4070 0.7500  12 Na 3.39-3.56
Hg 0.2500 0.9070 0.5930  12 Na 3.39-3.56
Hg 0.4070 0.7500 0.0930  12 Na 3.39-3.56
Hg 0.5930 0.2500 0.9070  12 Na 3.39-3.56
Hg 0.7500 0.0930 0.4070  12 Na 3.39-3.56
Hg 0.9070 0.5930 0.2500  12 Na 3.39-3.56
O 0.1517 0.1517 0.1517  6 Na 2.24-2.35
O 0.3483 0.3483 0.3483  6 Na 2.24-2.35
O 0.6517 0.6517 0.6517  6 Na 2.24-2.35
O 0.8483 0.8483 0.8483  6 Na 2.24-2.35

## Properties
The value obtained for the density of states at the Fermi level is 9.83 states/eV per cell. Its space group is R-3c (167). The formation energy (no corrections) is -0.59 eV per atom. The value obtained for the total magnetic moment is 0.0 μB/f.u.

=====

Below is crystalline HoUS2 at its relaxed geometry, with properties calculated at the PBE level.

Unit cell a=8.7121 b=8.7121 c=8.7121 alpha=25.87 beta=25.87 gamma=25.87
With the nearest neighbours (Å) after each atom.
Fractional positions:
Ho 0.0000 0.0000 0.0000  2 S 2.65
U 0.5000 0.5000 0.5000  6 S 2.74
S 0.1050 0.1050 0.1050  1 Ho 2.65, 3 U 2.74
S 0.8950 0.8950 0.8950  1 Ho 2.65, 3 U 2.74

## Properties
The value obtained for the energy relative to the lowest polymorph listed for this composition is 0.5603 eV/atom. The value obtained for the density of states at the Fermi level is 4.86 states/eV per cell. Its space group is R-3m (166). The formation energy (no corrections) is -1.10 eV per atom. The value obtained for the total magnetic moment is 3.1 μB/f.u.

=====

Below is crystalline Mg2NF at its relaxed geometry, with properties calculated at the PBE level.

Unit cell a=5.4929 b=5.4929 c=5.4929 alpha=33.78 beta=33.78 gamma=33.78
With the nearest neighbours (Å) after each atom.
Fractional positions:
Mg 0.2328 0.2328 0.2328  3 N 2.11
Mg 0.7672 0.7672 0.7672  3 N 2.11
N 0.5000 0.5000 0.5000  6 Mg 2.11
F 0.0000 0.0000 0.0000  6 Mg 2.41

## Properties
The value obtained for the energy relative to the lowest polymorph listed for this composition is 0.0876 eV/atom. Its space group is R-3m (166). The formation energy (no corrections) is -1.72 eV per atom. The value obtained for the total magnetic moment is 0.0 μB/f.u.